1.
Entry from Alexandria via LeMat-Bulk: an optimized crystal structure of La2ScHW (GGA-PBE).

Output
**Magnetization**: 0.00 μB per formula unit
**N(E_F)**: 1.480 states/eV/atom
**Raw total energy**: -27.62 eV for the cell shown

CIF file:
```
data_La2ScHW
_chemical_formula_sum 'La2 Sc1 H1 W1'
_cell_length_a 5.8965
_cell_length_b 5.8965
_cell_length_c 3.3864
_cell_angle_alpha 90.00
_cell_angle_beta 90.00
_cell_angle_gamma 90.00
_symmetry_space_group_name_H-M 'P 4/m m m'
_symmetry_Int_Tables_number 123
_symmetry_space_group_name_Hall '-P 4 2'
loop_
_atom_site_label
_atom_site_type_symbol
_atom_site_fract_x
_atom_site_fract_y
_atom_site_fract_z
La1 La 0.0000 0.5000 0.0000
Sc1 Sc 0.0000 0.0000 0.0000
H1 H 0.0000 0.0000 0.5000
W1 W 0.5000 0.5000 0.5000
```

=====

2.
Entry from Alexandria via LeMat-Bulk: an optimized crystal structure of Cs2BeOs (GGA-PBE).

Output
**Magnetization**: 2.02 μB per formula unit
**Energy of formation**: 1.974 eV/atom
**N(E_F)**: 2.163 states/eV/atom

CIF file:
```
data_Cs2BeOs
_chemical_formula_sum 'Cs8 Be4 Os4'
_cell_length_a 8.1269
_cell_length_b 8.1269
_cell_length_c 8.1269
_cell_angle_alpha 90.00
_cell_angle_beta 90.00
_cell_angle_gamma 90.00
_symmetry_space_group_name_H-M 'F m -3 m'
_symmetry_Int_Tables_number 225
_symmetry_space_group_name_Hall '-F 4 2 3'
loop_
_atom_site_label
_atom_site_type_symbol
_atom_site_fract_x
_atom_site_fract_y
_atom_site_fract_z
Cs1 Cs 0.2500 0.2500 0.2500
Be1 Be 0.0000 0.0000 0.0000
Os1 Os 0.0000 0.0000 0.5000
```

=====

3.
Entry from Alexandria via LeMat-Bulk: an optimized crystal structure of UZnIrRh (GGA-PBE).

Output
**Magnetization**: 1.61 μB per formula unit
**Energy of formation**: -0.427 eV/atom
**N(E_F)**: 1.183 states/eV/atom

CIF file:
```
data_UZnIrRh
_chemical_formula_sum 'U4 Zn4 Ir4 Rh4'
_cell_length_a 6.5204
_cell_length_b 6.5204
_cell_length_c 6.5204
_cell_angle_alpha 90.00
_cell_angle_beta 90.00
_cell_angle_gamma 90.00
_symmetry_space_group_name_H-M 'F -4 3 m'
_symmetry_Int_Tables_number 216
_symmetry_space_group_name_Hall 'F -4 2 3'
loop_
_atom_site_label
_atom_site_type_symbol
_atom_site_fract_x
_atom_site_fract_y
_atom_site_fract_z
U1 U 0.0000 0.0000 0.0000
Zn1 Zn 0.0000 0.0000 0.5000
Ir1 Ir 0.2500 0.2500 0.7500
Rh1 Rh 0.2500 0.2500 0.2500
```

=====

4.
Entry from Alexandria via LeMat-Bulk: an optimized crystal structure of RbAl2NiBr8 (GGA-PBE).

Output
**Magnetization**: 1.00 μB per formula unit
**N(E_F)**: 0.573 states/eV/atom
**Formation energy without anion corrections**: -1.004 eV per atom

CIF file:
```
data_RbAl2NiBr8
_chemical_formula_sum 'Rb1 Al2 Ni1 Br8'
_cell_length_a 6.7938
_cell_length_b 6.7938
_cell_length_c 9.7434
_cell_angle_alpha 90.00
_cell_angle_beta 90.00
_cell_angle_gamma 120.00
_symmetry_space_group_name_H-M 'P -3'
_symmetry_Int_Tables_number 147
loop_
_symmetry_equiv_pos_as_xyz
'x,y,z'
'-x,-y,-z'
'-y,x-y,z'
'y,-x+y,-z'
'-x+y,-x,z'
'x-y,x,-z'
loop_
_atom_site_label
_atom_site_type_symbol
_atom_site_fract_x
_atom_site_fract_y
_atom_site_fract_z
Rb1 Rb 0.0000 0.0000 0.0000
Al1 Al 0.3333 0.6667 0.7349
Ni1 Ni 0.0000 0.0000 0.5000
Br1 Br 0.0180 0.3240 0.6638
Br2 Br 0.3333 0.6667 0.9741
```

=====

5.
Entry from Alexandria via LeMat-Bulk: an optimized crystal structure of K2RbHf3S8 (GGA-PBE).

Output
**Magnetization**: 0.01 μB per formula unit
**N(E_F)**: 0.614 states/eV/atom
**Formation energy without anion corrections**: -1.367 eV per atom

CIF file:
```
data_K2RbHf3S8
_chemical_formula_sum 'K6 Rb3 Hf9 S24'
_cell_length_a 7.5872
_cell_length_b 7.5872
_cell_length_c 23.7625
_cell_angle_alpha 90.00
_cell_angle_beta 90.00
_cell_angle_gamma 120.00
_symmetry_space_group_name_H-M 'R 3 m'
_symmetry_Int_Tables_number 160
_symmetry_space_group_name_Hall 'R 3 -2"'
loop_
_atom_site_label
_atom_site_type_symbol
_atom_site_fract_x
_atom_site_fract_y
_atom_site_fract_z
K1 K 0.0000 0.0000 0.0000
K2 K 0.0000 0.0000 0.3605
Rb1 Rb 0.0000 0.0000 0.6431
Hf1 Hf 0.9996 0.4998 0.5002
S1 S 0.0000 0.0000 0.2280
S2 S 0.0000 0.0000 0.7742
S3 S 0.0257 0.5128 0.7740
S4 S 0.1802 0.3605 0.5589
```

=====

6.
Entry from Alexandria via LeMat-Bulk: an optimized crystal structure of Pm3HoCo (GGA-PBE).

Output
**Magnetization**: 0.81 μB per formula unit
**Polymorph energy (0 for the lowest one)**: 169 meV/atom
**Energy of formation**: 0.094 eV/atom
**N(E_F)**: 1.849 states/eV/atom

CIF file:
```
data_Pm3HoCo
_chemical_formula_sum 'Pm3 Ho1 Co1'
_cell_length_a 5.3956
_cell_length_b 5.3956
_cell_length_c 5.3956
_cell_angle_alpha 90.00
_cell_angle_beta 90.00
_cell_angle_gamma 90.00
_symmetry_space_group_name_H-M 'P m -3 m'
_symmetry_Int_Tables_number 221
_symmetry_space_group_name_Hall '-P 4 2 3'
loop_
_atom_site_label
_atom_site_type_symbol
_atom_site_fract_x
_atom_site_fract_y
_atom_site_fract_z
Pm1 Pm 0.0000 0.0000 0.5000
Ho1 Ho 0.5000 0.5000 0.5000
Co1 Co 0.0000 0.0000 0.0000
```